1.
First-principles (PBE) data for a geometry-optimized CrAg3 structure, as listed in Alexandria via LeMat-Bulk.

Calculated values
- energy of formation from the pure elements (kJ/mol of atoms) = 26.3
- magnetic moment (μB/f.u.) = 4.6

a b c (Å): 4.131 4.131 4.131
angles (deg): 90.00 90.00 90.00
Space group Pm-3m (No. 221)
Asymmetric unit:
Cr (0.000, 0.000, 0.000) [1 per cell]
Ag (0.000, 0.500, 0.500) [3 per cell]

2.
First-principles (PBE) data for a geometry-optimized Cr4Ag5 structure, as listed in Alexandria via LeMat-Bulk.

Calculated values
- energy of formation from the pure elements (kJ/mol of atoms) = 42.9
- magnetic moment (μB/f.u.) = 0.0

a b c (Å): 9.697 9.697 2.978
angles (deg): 90.00 90.00 90.00
Space group I4/mmm (No. 139)
Asymmetric unit:
Cr (0.000, 0.366, 0.000) [8 per cell]
Ag (0.000, 0.000, 0.000) [2 per cell]
Ag (0.167, 0.167, 0.500) [8 per cell]

3.
First-principles (PBE) data for a geometry-optimized Cr4Ag structure, as listed in Alexandria via LeMat-Bulk.

Calculated values
- energy of formation from the pure elements (kJ/mol of atoms) = 74.0
- magnetic moment (μB/f.u.) = 0.8
- relative energy among the computed polymorphs (meV per atom) = 0.0

a b c (Å): 3.746 3.746 10.230
angles (deg): 90.00 90.00 90.00
Space group I4/mmm (No. 139)
Asymmetric unit:
Cr (0.000, 0.000, 0.119) [4 per cell]
Cr (0.000, 0.500, 0.250) [4 per cell]
Ag (0.000, 0.000, 0.500) [2 per cell]

4.
First-principles (PBE) data for a geometry-optimized CrAg3 structure, as listed in Alexandria via LeMat-Bulk.

Calculated values
- energy of formation from the pure elements (kJ/mol of atoms) = 28.5
- magnetic moment (μB/f.u.) = 4.3

a b c (Å): 2.951 4.115 5.793
angles (deg): 90.00 91.31 90.00
Space group P2/m (No. 10)
Asymmetric unit:
Cr (0.000, 0.000, 0.000) [1 per cell]
Ag (0.000, 0.000, 0.500) [1 per cell]
Ag (0.499, 0.500, 0.247) [2 per cell]

5.
First-principles (PBE) data for a geometry-optimized CrAg structure, as listed in Alexandria via LeMat-Bulk.

Calculated values
- energy of formation from the pure elements (kJ/mol of atoms) = 57.9
- magnetic moment (μB/f.u.) = 0.0

a b c (Å): 8.317 2.828 5.391
angles (deg): 90.00 90.00 90.00
Space group Pnma (No. 62)
Asymmetric unit:
Cr (0.056, 0.250, 0.110) [4 per cell]
Ag (0.158, 0.250, 0.589) [4 per cell]

6.
First-principles (PBE) data for a geometry-optimized CrAg2 structure, as listed in Alexandria via LeMat-Bulk.

Calculated values
- energy of formation from the pure elements (kJ/mol of atoms) = 45.4
- magnetic moment (μB/f.u.) = 4.5

a b c (Å): 4.6794 4.6794 2.8800
angles (deg): 90.00 90.00 120.00
Space group P6/mmm (No. 191)
Asymmetric unit:
Cr (0.0000, 0.0000, 0.0000) [1 per cell]
Ag (0.3333, 0.6667, 0.5000) [2 per cell]